A plane-wave DFT calculation with PBE-GGA was carried out for an optimized crystal structure of TlPd2Cl2.

abc: 7.2254 7.2254 4.6354
angles: 90.00 90.00 90.00
With the nearest neighbours (Å) after each atom.
Atoms (fractional coordinates):
Tl 0.0000 0.0000 0.0000  4 Pd 2.81
Tl 0.5000 0.5000 0.0000  4 Pd 2.81
Pd 0.1353 0.3647 0.0000  2 Cl 2.36
Pd 0.3647 0.8647 0.0000  2 Cl 2.36
Pd 0.6353 0.1353 0.0000  2 Cl 2.36
Pd 0.8647 0.6353 0.0000  2 Cl 2.36
Cl 0.1800 0.3200 0.5000  2 Pd 2.36
Cl 0.3200 0.8200 0.5000  2 Pd 2.36
Cl 0.6800 0.1800 0.5000  2 Pd 2.36
Cl 0.8200 0.6800 0.5000  2 Pd 2.36

**Symmetry**: P4/mbm
**Raw formation energy**: -0.266 eV/atom